(i)
This record from the Open Quantum Materials Database describes SmTmAgS3 after structural relaxation. The functional is PBE.

```
SmTmAgS3
1.0
7.461 0.000 0.000
0.000 3.875 0.000
-2.452 0.000 8.920
Sm Tm Ag S
2 2 2 6
Direct
0.248 0.250 0.203 Sm
0.752 0.750 0.797 Sm
0.194 0.750 0.666 Tm
0.806 0.250 0.334 Tm
0.386 0.250 0.919 Ag
0.614 0.750 0.081 Ag
0.077 0.750 0.362 S
0.149 0.750 0.951 S
0.452 0.250 0.664 S
0.548 0.750 0.336 S
0.851 0.250 0.049 S
0.923 0.250 0.638 S
```

space-group type	P2_1/m
theoretical density	6.74	Mg/m³


(ii)
This record from the Open Quantum Materials Database describes SmTmAgS3 after structural relaxation. The functional is PBE.

```
SmTmAgS3
1.0
8.494 -1.888 0.000
8.494 1.888 0.000
-1.795 0.000 7.952
Sm Tm Ag S
2 2 2 6
Direct
0.136 0.136 0.073 Sm
0.864 0.864 0.927 Sm
0.164 0.164 0.590 Tm
0.836 0.836 0.410 Tm
0.471 0.471 0.282 Ag
0.529 0.529 0.718 Ag
0.000 0.000 0.500 S
0.313 0.313 0.158 S
0.328 0.328 0.649 S
0.500 0.500 0.000 S
0.672 0.672 0.351 S
0.687 0.687 0.842 S
```

space-group type	C2/m
theoretical density	6.81	Mg/m³


Stability summary - winner: (i); margin: 16 meV per atom.